Entry 1:
This record from Alexandria describes crystalline Ac2Ge3Au5 at its relaxed geometry. The functional is PBE.

abc: 6.5468 9.0555 9.0555
angles: 70.84 68.81 68.81
Closest atoms and distances in Å follow each position.
Element x y z (fractional)
Ac: 0.6284 0.1159 0.6273  10 Au 3.45-3.62, 6 Ge 3.48-3.53
Ac: 0.1284 0.6273 0.1159  10 Au 3.45-3.62, 6 Ge 3.48-3.53
Ac: 0.3716 0.8841 0.3727  10 Au 3.45-3.62, 6 Ge 3.48-3.53
Ac: 0.8716 0.3727 0.8841  10 Au 3.45-3.62, 6 Ge 3.48-3.53
Ge: 0.8796 0.7549 0.4859  5 Au 2.53-2.69
Ge: 0.1204 0.2451 0.5141  5 Au 2.53-2.69
Ge: 0.3796 0.4859 0.7549  5 Au 2.53-2.69
Ge: 0.2500 0.0000 0.0000  4 Au 2.62
Ge: 0.7500 0.0000 0.0000  4 Au 2.62
Ge: 0.6204 0.5141 0.2451  5 Au 2.53-2.69
Au: 0.3811 0.2432 0.9947  3 Ge 2.53-2.62
Au: 0.7500 0.5000 0.5000  4 Ge 2.69
Au: 0.9851 0.2649 0.2649  2 Ge 2.64, 2 Au 2.85
Au: 0.8811 0.9947 0.2432  3 Ge 2.53-2.62
Au: 0.1189 0.0053 0.7568  3 Ge 2.53-2.62
Au: 0.6189 0.7568 0.0053  3 Ge 2.53-2.62
Au: 0.2500 0.5000 0.5000  4 Ge 2.69
Au: 0.5149 0.7351 0.7351  2 Ge 2.64, 2 Au 2.85
Au: 0.0149 0.7351 0.7351  2 Ge 2.64, 2 Au 2.85
Au: 0.4851 0.2649 0.2649  2 Ge 2.64, 2 Au 2.85

Calculated values
- ΔH_f (0 K): -580.1 kJ/mol of formula units
- Polymorph energy (0 for the lowest one): 0 meV per atom


Entry 2:
This record from Alexandria describes crystalline AcGeHAu at its relaxed geometry. The functional is PBE.

abc: 4.5398 4.5400 4.5054
angles: 90.00 90.00 120.00
Closest atoms and distances in Å follow each position.
Element x y z (fractional)
Ac: 0.9052 0.8105 0.7881  3 H 2.64
Au: 0.2386 0.4771 0.2632  1 H 1.82
Ge: 0.5720 0.1440 0.3280  3 Au 2.64
H: 0.2386 0.4771 0.8598  1 Au 1.82


Entry 3:
This record from Alexandria describes crystalline Ac2HgGe4Au3 at its relaxed geometry. The functional is PBE.

abc: 4.6550 4.6550 10.6388
angles: 90.00 90.00 90.00
Closest atoms and distances in Å follow each position.
Element x y z (fractional)
Au: 0.0000 0.5000 0.1223  5 Ge 2.56-2.67
Au: 0.0000 0.0000 0.5000  4 Ge 2.75
Au: 0.5000 0.0000 0.8777  5 Ge 2.56-2.67
Ac: 0.5000 0.0000 0.2456  8 Ge 3.50-3.52, 7 Au 3.54-3.91, 2 Hg 3.57
Ac: 0.0000 0.5000 0.7544  8 Ge 3.50-3.52, 7 Au 3.54-3.91, 2 Hg 3.57
Ge: 0.0000 0.0000 0.0000  4 Au 2.67
Ge: 0.5000 0.0000 0.6374  3 Au 2.56-2.75, 2 Hg 2.75
Ge: 0.0000 0.5000 0.3626  3 Au 2.56-2.75, 2 Hg 2.75
Ge: 0.5000 0.5000 0.0000  4 Au 2.67
Hg: 0.5000 0.5000 0.5000  4 Ge 2.75

Calculated values
- ΔH_f (0 K): -521.3 kJ/mol of formula units


Entry 4:
This record from Alexandria describes crystalline AcHoGe2Au2 at its relaxed geometry. The functional is PBE.

abc: 4.5145 4.5145 8.0101
angles: 90.00 90.00 120.00
Closest atoms and distances in Å follow each position.
Element x y z (fractional)
Ge: 0.6667 0.3333 0.2603  3 Au 2.62
Ge: 0.3333 0.6667 0.7397  3 Au 2.62
Ac: 0.0000 0.0000 0.0000  6 Ge 3.34, 6 Au 3.51
Au: 0.6667 0.3333 0.7062  3 Ge 2.62
Au: 0.3333 0.6667 0.2938  3 Ge 2.62
Ho: 0.0000 0.0000 0.5000  6 Au 3.09, 6 Ge 3.24

Calculated values
- ΔH_f (0 K): -476.6 kJ/mol of formula units


Entry 5:
This record from Alexandria describes crystalline Ac6Ge2AuI3 at its relaxed geometry. The functional is PBE.

abc: 8.1085 8.1085 8.3599
angles: 99.36 99.36 119.98
Closest atoms and distances in Å follow each position.
Element x y z (fractional)
Au: 0.0000 0.0000 0.0000  6 Ac 3.14-3.17
Ac: 0.4006 0.0681 0.2052  1 Au 3.14, 2 Ge 3.16
Ac: 0.2643 0.2643 0.7913  2 Ge 3.16, 1 Au 3.17
Ac: 0.7357 0.7357 0.2087  2 Ge 3.16, 1 Au 3.17
Ac: 0.5994 0.9319 0.7948  1 Au 3.14, 2 Ge 3.16
Ac: 0.0681 0.4006 0.2052  1 Au 3.14, 2 Ge 3.16
Ac: 0.9319 0.5994 0.7948  1 Au 3.14, 2 Ge 3.16
I: 0.8278 0.1722 0.5000  6 Ac 3.52-3.60
I: 0.1722 0.8278 0.5000  6 Ac 3.52-3.60
I: 0.5000 0.5000 0.5000  6 Ac 3.55-3.57
Ge: 0.6661 0.3339 0.0000  6 Ac 3.16
Ge: 0.3339 0.6661 0.0000  6 Ac 3.16

Calculated values
- ΔE_f (raw): -946 meV per atom


Entry 6:
This record from Alexandria describes crystalline Ac4GeAuI2 at its relaxed geometry. The functional is PBE.

abc: 4.5413 8.4186 8.2918
angles: 72.57 90.00 90.00
Closest atoms and distances in Å follow each position.
Element x y z (fractional)
I: 0.5000 0.0000 0.5000  6 Ac 3.54-3.63
I: 0.0000 0.0000 0.0000  6 Ac 3.58-3.59
Ac: 0.5000 0.7082 0.2687  2 Ge 3.15, 1 Au 3.22
Ac: 0.5000 0.2918 0.7313  2 Ge 3.15, 1 Au 3.22
Ac: 0.0000 0.7003 0.7708  2 Au 3.11, 1 Ge 3.19
Ac: 0.0000 0.2997 0.2292  2 Au 3.11, 1 Ge 3.19
Au: 0.5000 0.5000 0.0000  6 Ac 3.11-3.22
Ge: 0.0000 0.5000 0.5000  6 Ac 3.15-3.19

Calculated values
- ΔE_f (raw): -937 meV per atom


Entry 7:
This record from Alexandria describes crystalline AcInGe2Au6 at its relaxed geometry. The functional is PBE.

abc: 5.5433 5.5433 10.8958
angles: 75.26 75.26 60.00
Closest atoms and distances in Å follow each position.
Element x y z (fractional)
Au: 0.1857 0.3203 0.7451  1 Ge 2.55, 2 Au 2.82
Au: 0.7489 0.1857 0.7451  1 Ge 2.55, 2 Au 2.82
Au: 0.2511 0.8143 0.2549  1 Ge 2.55, 2 Au 2.82
Au: 0.6797 0.2511 0.2549  1 Ge 2.55, 2 Au 2.82
Au: 0.8143 0.6797 0.2549  1 Ge 2.55, 2 Au 2.82
Au: 0.3203 0.7489 0.7451  1 Ge 2.55, 2 Au 2.82
Ac: 0.0000 0.0000 0.0000  6 Au 3.13
Ge: 0.2202 0.2202 0.3394  3 Au 2.55
Ge: 0.7798 0.7798 0.6606  3 Au 2.55
In: 0.5000 0.5000 0.5000  6 Au 3.03

Calculated values
- ΔH_f (0 K): -38.3 kJ/mol of formula units


Entry 8:
This record from Alexandria describes crystalline Ac2InGe4Au3 at its relaxed geometry. The functional is PBE.

abc: 4.6627 4.6627 10.6932
angles: 90.00 90.00 90.00
Closest atoms and distances in Å follow each position.
Element x y z (fractional)
Ge: 0.5000 0.5000 0.0000  4 Au 2.67
Ge: 0.0000 0.5000 0.3598  3 Au 2.56-2.77, 2 In 2.77
Ge: 0.0000 0.0000 0.0000  4 Au 2.67
Ge: 0.5000 0.0000 0.6402  3 Au 2.56-2.77, 2 In 2.77
Ac: 0.5000 0.0000 0.2388  8 Ge 3.46-3.54, 7 Au 3.53-3.84, 2 In 3.64
Ac: 0.0000 0.5000 0.7612  8 Ge 3.46-3.54, 7 Au 3.53-3.84, 2 In 3.64
Au: 0.5000 0.0000 0.8793  5 Ge 2.56-2.67
Au: 0.0000 0.0000 0.5000  4 Ge 2.77
Au: 0.0000 0.5000 0.1207  5 Ge 2.56-2.67
In: 0.5000 0.5000 0.5000  4 Ge 2.77

Calculated values
- ΔH_f (0 K): -523.1 kJ/mol of formula units


Entry 9:
This record from Alexandria describes crystalline AcIn2GeAu2 at its relaxed geometry. The functional is PBE.

abc: 5.3414 5.3414 7.1090
angles: 112.07 112.07 90.00
Closest atoms and distances in Å follow each position.
Element x y z (fractional)
Au: 0.7930 0.7930 0.5860  1 Ge 2.49, 4 In 2.72
Au: 0.2070 0.2070 0.4140  1 Ge 2.49, 4 In 2.72
In: 0.2500 0.7500 0.5000  4 Au 2.72
In: 0.7500 0.2500 0.5000  4 Au 2.72
Ac: 0.5000 0.5000 0.0000  2 Au 3.53, 4 Ge 3.78
Ge: 0.0000 0.0000 0.0000  2 Au 2.49

Calculated values
- ΔH_f (0 K): -87.6 kJ/mol of formula units


Entry 10:
This record from Alexandria describes crystalline Ac2InGeAu6 at its relaxed geometry. The functional is PBE.

abc: 5.5629 9.2739 7.1788
angles: 51.13 67.16 90.00
Closest atoms and distances in Å follow each position.
Element x y z (fractional)
Au: 0.2260 0.2189 0.0486  1 Ge 2.66, 1 In 2.77, 2 Au 2.78-2.79
Au: 0.2732 0.7806 0.9510  1 Ge 2.66, 1 In 2.77, 2 Au 2.78-2.79
Au: 0.7740 0.7811 0.9514  1 Ge 2.66, 1 In 2.77, 2 Au 2.78-2.79
Au: 0.7268 0.2194 0.0490  1 Ge 2.66, 1 In 2.77, 2 Au 2.78-2.79
Au: 0.2456 0.4079 0.5086  1 Ge 2.85, 1 In 2.85, 4 Au 3.04-3.19
Au: 0.7544 0.5921 0.4914  1 Ge 2.85, 1 In 2.85, 4 Au 3.04-3.19
In: 0.5000 0.5000 0.0000  6 Au 2.77-2.85
Ac: 0.7411 0.2146 0.5175  7 Au 3.26-3.39, 2 Ge 3.64
Ac: 0.2589 0.7854 0.4825  7 Au 3.26-3.39, 2 Ge 3.64
Ge: 0.0000 0.0000 0.0000  6 Au 2.66-2.85

Calculated values
- ΔH_f (0 K): -474.9 kJ/mol of formula units


Entry 11:
This record from Alexandria describes crystalline Ac2In4GeAu3 at its relaxed geometry. The functional is PBE.

abc: 4.7853 4.7853 11.2617
angles: 90.00 90.00 90.00
Closest atoms and distances in Å follow each position.
Element x y z (fractional)
Ac: 0.5000 0.0000 0.2592  6 Au 3.62-3.66, 2 Ge 3.62, 8 In 3.62-3.77
Ac: 0.0000 0.5000 0.7408  2 Ge 3.62, 6 Au 3.62-3.66, 8 In 3.62-3.77
In: 0.0000 0.5000 0.3742  3 Au 2.69-2.78, 2 Ge 2.78
In: 0.5000 0.5000 0.0000  4 Au 2.84
In: 0.5000 0.0000 0.6258  3 Au 2.69-2.78, 2 Ge 2.78
In: 0.0000 0.0000 0.0000  4 Au 2.84
Au: 0.0000 0.0000 0.5000  4 In 2.78
Au: 0.0000 0.5000 0.1351  5 In 2.69-2.84
Au: 0.5000 0.0000 0.8649  5 In 2.69-2.84
Ge: 0.5000 0.5000 0.5000  4 In 2.78

Calculated values
- ΔH_f (0 K): -518.9 kJ/mol of formula units


Here are the calculated total DFT energy (no corrections) numbers, same order: -4.447; -4.432; -4.222; -4.903; -4.430; -4.366; -3.614; -4.468; -3.611; -4.016; -3.900 (eV/atom).
Here are the calculated spin magnetization numbers, same order: 0.0; 0.0; 0.0; 0.0; 0.0; 0.0; 0.0; 0.0; 0.0; 0.0; 0.0 (μB per formula unit).